Entry 1:
Ca2VCuHg: optimized geometry, PBE.

## Properties
Density of states at the Fermi level ... 0.73 states/eV/atom
Total moment ... 4.25 μB/cell
Electronic total energy ... -2.82 eV per atom

```
Ca2VCuHg
1.0
5.755 0.000 0.000
0.000 4.821 0.000
0.000 0.000 5.755
Ca Hg Cu V
2 1 1 1
direct
0.000 0.000 0.500
0.500 0.000 0.000
0.000 0.000 0.000
0.000 0.500 0.000
0.500 0.500 0.500
```

=====

Entry 2:
Tm8Sn2Hg3: optimized geometry, PBE.

## Properties
Density of states at the Fermi level ... 0.94 states/eV/atom
Total moment ... 0.00 μB/cell
Electronic total energy ... -3.64 eV per atom

```
Tm8Sn2Hg3
1.0
6.058 0.000 0.025
0.000 7.468 0.000
-2.469 -3.734 8.591
Tm Sn Hg
8 2 3
direct
0.089 0.695 0.391
0.911 0.305 0.609
0.974 0.098 0.196
0.026 0.902 0.804
0.502 0.628 0.755
0.502 0.126 0.755
0.498 0.874 0.245
0.498 0.372 0.245
0.353 0.242 0.484
0.647 0.758 0.516
0.500 0.000 0.000
0.000 0.314 0.000
0.000 0.686 0.000
```

=====

Entry 3:
K2ClF: optimized geometry, PBE.

## Properties
Energy relative to the elements, uncorrected ... -2.30 eV per atom
Density of states at the Fermi level ... 0.00 states/eV/atom
E above lowest polymorph ... 0.00 eV/f.u.
Total moment ... 0.00 μB/cell
Electronic total energy ... -3.78 eV per atom

```
K2ClF
1.0
-1.722 2.005 -3.189
0.431 -4.117 -0.131
-5.215 -0.706 5.061
K Cl F
2 1 1
direct
0.524 0.262 0.786
0.476 0.738 0.214
0.000 0.500 0.500
0.000 0.000 0.000
```

=====

Entry 4:
La2ZnPb: optimized geometry, PBE.

## Properties
Density of states at the Fermi level ... 1.06 states/eV/atom
Total moment ... 1.03 μB/cell
Electronic total energy ... -3.88 eV per atom

```
La2ZnPb
1.0
-5.750 -6.459 0.615
2.890 -3.285 -7.484
0.790 -6.691 -1.779
Pb Zn La
2 2 4
direct
0.000 0.000 0.000
0.750 0.250 0.500
0.500 0.500 0.000
0.250 0.750 0.500
0.602 0.125 0.250
0.148 0.625 0.250
0.375 0.398 0.750
0.875 0.852 0.750
```

=====

Entry 5:
CdFeTc: optimized geometry, PBE.

## Properties
Density of states at the Fermi level ... 0.88 states/eV/atom
E above lowest polymorph ... 0.00 eV/f.u.
Total moment ... 1.22 μB/cell
Electronic total energy ... -6.32 eV per atom

```
CdFeTc
1.0
5.953 -0.019 0.000
4.590 3.791 0.000
-5.271 -1.886 2.024
Cd Fe Tc
1 1 1
direct
0.994 0.994 0.000
0.314 0.314 0.000
0.692 0.692 0.000
```

=====

Entry 6:
AcTaHO5: optimized geometry, PBE.

## Properties
Density of states at the Fermi level ... 0.72 states/eV/atom
Total moment ... 2.09 μB/cell
Electronic total energy ... -7.86 eV per atom

```
AcTaHO5
1.0
6.050 -0.542 -0.113
-2.284 5.628 -0.113
-1.721 -2.325 7.324
Ac Ta H O
2 2 2 10
direct
0.296 0.704 0.250
0.704 0.296 0.750
0.000 0.000 0.500
0.000 0.000 0.000
0.557 0.443 0.250
0.443 0.557 0.750
0.035 0.965 0.250
0.965 0.035 0.750
0.893 0.264 0.053
0.107 0.736 0.947
0.736 0.107 0.447
0.264 0.893 0.553
0.700 0.628 0.392
0.300 0.372 0.608
0.372 0.300 0.108
0.628 0.700 0.892
```

=====

Entry 7:
AcDy2ThBi4: optimized geometry, PBE.

## Properties
Density of states at the Fermi level ... 0.22 states/eV/atom
Total moment ... 0.00 μB/cell
Electronic total energy ... -5.35 eV per atom

```
AcDy2ThBi4
1.0
4.611 0.000 0.000
0.000 7.932 -0.144
0.000 2.807 7.496
Ac Dy Th Bi
1 2 1 4
direct
0.500 0.500 0.000
0.000 0.000 0.000
0.500 0.000 0.500
0.000 0.500 0.500
0.000 0.768 0.736
0.000 0.232 0.264
0.500 0.763 0.253
0.500 0.237 0.747
```

=====

Entry 8:
CeZn3Cu2: optimized geometry, PBE.

## Properties
Density of states at the Fermi level ... 1.18 states/eV/atom
Total moment ... 0.97 μB/cell
Electronic total energy ... -3.24 eV per atom

```
CeZn3Cu2
1.0
-3.665 -3.644 0.784
5.025 -1.106 0.922
-0.446 1.310 4.003
Ce Zn Cu
1 3 2
direct
0.000 0.000 0.000
0.000 0.500 0.500
0.500 0.000 0.500
0.500 0.500 0.500
0.667 0.333 0.000
0.333 0.667 0.000
```

=====

Entry 9:
NaSbOs2: optimized geometry, PBE.

## Properties
Energy relative to the elements, uncorrected ... 1.16 eV per atom
Density of states at the Fermi level ... 0.17 states/eV/atom
Total moment ... 0.00 μB/cell
Electronic total energy ... -5.82 eV per atom

```
NaSbOs2
1.0
7.866 0.000 0.000
0.000 7.866 0.000
3.933 3.933 2.581
Sb Os Na
2 4 2
direct
0.000 0.000 0.000
0.750 0.250 0.500
0.676 0.125 0.250
0.074 0.625 0.250
0.375 0.324 0.750
0.875 0.926 0.750
0.500 0.500 0.000
0.250 0.750 0.500
```